# 1
Here is a relaxed structure of La3Cd from Alexandria via LeMat-Bulk. Energies are from PBEsol.

Cell: 3.592 4.684 7.217 Å, 90.00 90.00 90.00°
Space group Pmmm (No. 47)
Inequivalent atoms, fractional coordinates:
La: 0.000 0.000 0.000
La: 0.500 0.500 0.274
Cd: 0.000 0.000 0.500

Energy relative to the elements, eV/atom: -0.133
Density, g/cm³: 7.236
Volume, Å³ per atom: 30.36

***

# 2
Here is a relaxed structure of La3Cd from Alexandria via LeMat-Bulk. Energies are from PBEsol.

Cell: 7.597 11.495 5.580 Å, 90.00 90.00 90.00°
Space group Cmcm (No. 63)
Inequivalent atoms, fractional coordinates:
La: 0.000 0.083 0.250
La: 0.240 0.361 0.250
Cd: 0.000 0.390 0.750

Energy relative to the elements, eV/atom: -0.136
Density, g/cm³: 7.213
Volume, Å³ per atom: 30.46

***

| no. | final energy (Ry/atom) |
| --- | --- |
| 1 | -0.32649 |
| 2 | -0.32670 |